# ScAgCl3 PBE relaxed
data_ScAgCl3
_cell_length_a 6.755
_cell_length_b 6.755
_cell_length_c 6.755
_cell_angle_alpha 62.41
_cell_angle_beta 62.41
_cell_angle_gamma 62.41
_space_group_name_H-M_alt 'P 1'
_space_group_IT_number 1
_space_group_name_Hall 'P 1'
loop_
_atom_site_label
_atom_site_fract_x
_atom_site_fract_y
_atom_site_fract_z
Cl1 0.870 0.630 0.250
Cl2 0.250 0.870 0.630
Cl3 0.750 0.130 0.370
Cl4 0.630 0.250 0.870
Cl5 0.130 0.370 0.750
Cl6 0.370 0.750 0.130
Ag1 0.250 0.250 0.250
Ag2 0.750 0.750 0.750
Sc1 0.000 0.000 0.000
Sc2 0.500 0.500 0.500
# **E above lowest polymorph**: 0.26 eV per formula unit